Nd4Ni3O8: relaxed, PBE with a Hubbard U.

Calculated values
Total moment (μB/f.u.): 1.99
Crystal system: tetragonal
Total energy (eV/atom): -6.78

extended XYZ file:
```
15
Lattice="-1.9811 1.9811 12.6995 1.9811 -1.9811 12.6995 1.9811 1.9811 -12.6995" Properties=species:S:1:pos:R:3 pbc="T T T"
Nd 0.0000 0.0000 1.6823
Nd 0.0000 0.0000 5.1225
Nd 0.0000 0.0000 20.2765
Nd 0.0000 0.0000 23.7167
Ni 0.0000 0.0000 9.5200
Ni 0.0000 0.0000 12.6995
Ni 0.0000 0.0000 15.8790
O 1.9811 0.0000 0.0000
O 1.9811 0.0000 3.1876
O 1.9811 0.0000 6.3497
O 1.9811 0.0000 9.5119
O 0.0000 1.9811 0.0000
O 0.0000 1.9811 3.1876
O 0.0000 1.9811 6.3497
O 0.0000 1.9811 9.5119
```